Entry 1:
# AcEuSc2

A geometry-optimized AcEuSc2 structure (GGA-PBE, Alexandria via LeMat-Bulk).

- E (eV per atom) = -6.602
- calculated volume (Å³/cell) = 128.9
- excess energy over the best structure of this formula in the dataset (meV/atom) = 0.0
- magnetic moment (Bohr magnetons per cell) = 6.939

a b c (Å): 4.003 4.003 8.045
angles (deg): 90.00 90.00 90.00
Space group P4/mmm (No. 123)
Asymmetric unit:
1 Ac 0.000 0.000 0.000 x1
2 Eu 0.000 0.000 0.500 x1
3 Sc 0.500 0.500 0.264 x2

=====

Entry 2:
# Ac2EuSc

A geometry-optimized Ac2EuSc structure (GGA-PBE, Alexandria via LeMat-Bulk).

- E (eV per atom) = -6.147
- calculated volume (Å³/cell) = 155.7
- excess energy over the best structure of this formula in the dataset (meV/atom) = 0.0
- magnetic moment (Bohr magnetons per cell) = 7.466

a b c (Å): 4.064 4.064 9.424
angles (deg): 90.00 90.00 90.00
Space group P4/mmm (No. 123)
Asymmetric unit:
1 Ac 0.000 0.000 0.217 x2
2 Eu 0.500 0.500 0.500 x1
3 Sc 0.500 0.500 0.000 x1

=====

Entry 3:
# Ac2EuSc

A geometry-optimized Ac2EuSc structure (GGA-PBE, Alexandria via LeMat-Bulk).

- E (eV per atom) = -6.081
- calculated volume (Å³/cell) = 151.0
- excess energy over the best structure of this formula in the dataset (meV/atom) = 66.6
- magnetic moment (Bohr magnetons per cell) = 7.360

a b c (Å): 5.543 5.543 4.914
angles (deg): 90.00 90.00 90.00
Space group P4/mmm (No. 123)
Asymmetric unit:
1 Ac 0.000 0.500 0.000 x2
2 Eu 0.000 0.000 0.500 x1
3 Sc 0.500 0.500 0.500 x1

=====

Entry 4:
# AcEuSc

A geometry-optimized AcEuSc structure (GGA-PBE, Alexandria via LeMat-Bulk).

- E (eV per atom) = -6.787
- calculated volume (Å³/cell) = 217.4
- excess energy over the best structure of this formula in the dataset (meV/atom) = 0.0
- magnetic moment (Bohr magnetons per cell) = 14.503

a b c (Å): 3.931 3.931 14.069
angles (deg): 90.00 90.00 90.00
Space group I4mm (No. 107)
Asymmetric unit:
1 Ac 0.000 0.000 0.000 x2
2 Eu 0.000 0.000 0.697 x2
3 Sc 0.000 0.000 0.347 x2

=====

Entry 5:
# AcEu2Sc

A geometry-optimized AcEu2Sc structure (GGA-PBE, Alexandria via LeMat-Bulk).

- E (eV per atom) = -7.597
- calculated volume (Å³/cell) = 147.4
- excess energy over the best structure of this formula in the dataset (meV/atom) = 0.0
- magnetic moment (Bohr magnetons per cell) = 14.547

a b c (Å): 3.935 3.935 9.520
angles (deg): 90.00 90.00 90.00
Space group P4/mmm (No. 123)
Asymmetric unit:
1 Ac 0.000 0.000 0.000 x1
2 Eu 0.500 0.500 0.286 x2
3 Sc 0.000 0.000 0.500 x1

=====

Entry 6:
# Ac2EuSc

A geometry-optimized Ac2EuSc structure (GGA-PBE, Alexandria via LeMat-Bulk).

- E (eV per atom) = -6.087
- calculated volume (Å³/cell) = 606.0
- excess energy over the best structure of this formula in the dataset (meV/atom) = 60.1
- magnetic moment (Bohr magnetons per cell) = 29.537

a b c (Å): 8.462 8.462 8.462
angles (deg): 90.00 90.00 90.00
Space group Fm-3m (No. 225)
Asymmetric unit:
1 Ac 0.250 0.250 0.250 x8
2 Eu 0.000 0.000 0.000 x4
3 Sc 0.000 0.000 0.500 x4

=====

Entry 7:
# AcEuSc

A geometry-optimized AcEuSc structure (GGA-PBE, Alexandria via LeMat-Bulk).

- E (eV per atom) = -6.744
- calculated volume (Å³/cell) = 105.6
- excess energy over the best structure of this formula in the dataset (meV/atom) = 42.9
- magnetic moment (Bohr magnetons per cell) = 7.378

a b c (Å): 5.8139 5.8139 3.6065
angles (deg): 90.00 90.00 120.00
Space group P3m1 (No. 156)
Asymmetric unit:
1 Ac 0.0000 0.0000 0.0000 x1
2 Eu 0.3333 0.6667 0.5006 x1
3 Sc 0.6667 0.3333 0.4988 x1

=====

Entry 8:
# AcEuScSn

A geometry-optimized AcEuScSn structure (GGA-PBE, Alexandria via LeMat-Bulk).

- E (eV per atom) = -6.311
- calculated volume (Å³/cell) = 481.3
- magnetic moment (Bohr magnetons per cell) = 35.577

a b c (Å): 7.837 7.837 7.837
angles (deg): 90.00 90.00 90.00
Space group F-43m (No. 216)
Asymmetric unit:
1 Ac 0.000 0.000 0.000 x4
2 Eu 0.250 0.250 0.750 x4
3 Sc 0.250 0.250 0.250 x4
4 Sn 0.000 0.000 0.500 x4

=====

Entry 9:
# AcTbEuSc

A geometry-optimized AcTbEuSc structure (GGA-PBE, Alexandria via LeMat-Bulk).

- E (eV per atom) = -6.176
- calculated volume (Å³/cell) = 554.7
- magnetic moment (Bohr magnetons per cell) = 30.007

a b c (Å): 8.216 8.216 8.216
angles (deg): 90.00 90.00 90.00
Space group F-43m (No. 216)
Asymmetric unit:
1 Ac 0.000 0.000 0.000 x4
2 Tb 0.000 0.000 0.500 x4
3 Eu 0.250 0.250 0.750 x4
4 Sc 0.250 0.250 0.250 x4

=====

Entry 10:
# AcEuScTl

A geometry-optimized AcEuScTl structure (GGA-PBE, Alexandria via LeMat-Bulk).

- E (eV per atom) = -5.718
- calculated volume (Å³/cell) = 497.4
- magnetic moment (Bohr magnetons per cell) = 37.948

a b c (Å): 7.923 7.923 7.923
angles (deg): 90.00 90.00 90.00
Space group F-43m (No. 216)
Asymmetric unit:
1 Ac 0.000 0.000 0.000 x4
2 Eu 0.250 0.250 0.250 x4
3 Sc 0.250 0.250 0.750 x4
4 Tl 0.000 0.000 0.500 x4

=====

Entry 11:
# AcEuTmSc

A geometry-optimized AcEuTmSc structure (GGA-PBE, Alexandria via LeMat-Bulk).

- E (eV per atom) = -6.129
- calculated volume (Å³/cell) = 547.8
- magnetic moment (Bohr magnetons per cell) = 28.133

a b c (Å): 8.182 8.182 8.182
angles (deg): 90.00 90.00 90.00
Space group F-43m (No. 216)
Asymmetric unit:
1 Ac 0.000 0.000 0.000 x4
2 Eu 0.000 0.000 0.500 x4
3 Tm 0.250 0.250 0.250 x4
4 Sc 0.250 0.250 0.750 x4

=====

Entry 12:
# Ac2EuSe

A geometry-optimized Ac2EuSe structure (GGA-PBE, Alexandria via LeMat-Bulk).

- E (eV per atom) = -6.128
- calculated volume (Å³/cell) = 510.3
- magnetic moment (Bohr magnetons per cell) = 22.057
- raw formation energy (eV per atom) = -0.63

a b c (Å): 4.1244 4.1244 34.6392
angles (deg): 90.00 90.00 120.00
Space group R-3m (No. 166, hexagonal axes)
Asymmetric unit:
1 Ac 0.0000 0.0000 0.1093 x6
2 Eu 0.0000 0.0000 0.0000 x3
3 Se 0.0000 0.0000 0.5000 x3

=====

Entry 13:
# AcEuSe2

A geometry-optimized AcEuSe2 structure (GGA-PBE, Alexandria via LeMat-Bulk).

- E (eV per atom) = -7.284
- calculated volume (Å³/cell) = 360.7
- excess energy over the best structure of this formula in the dataset (meV/atom) = 0.0
- magnetic moment (Bohr magnetons per cell) = 20.965
- raw formation energy (eV per atom) = -1.95

a b c (Å): 4.3852 4.3852 21.6606
angles (deg): 90.00 90.00 120.00
Space group R-3m (No. 166, hexagonal axes)
Asymmetric unit:
1 Ac 0.0000 0.0000 0.0000 x3
2 Eu 0.0000 0.0000 0.5000 x3
3 Se 0.0000 0.0000 0.2463 x6

=====

Entry 14:
# AcEuSe2

A geometry-optimized AcEuSe2 structure (GGA-PBE, Alexandria via LeMat-Bulk).

- E (eV per atom) = -7.038
- calculated volume (Å³/cell) = 435.8
- excess energy over the best structure of this formula in the dataset (meV/atom) = 246.0
- magnetic moment (Bohr magnetons per cell) = 31.416
- raw formation energy (eV per atom) = -1.70

a b c (Å): 7.582 7.582 7.582
angles (deg): 90.00 90.00 90.00
Space group Fm-3m (No. 225)
Asymmetric unit:
1 Ac 0.000 0.000 0.000 x4
2 Eu 0.000 0.000 0.500 x4
3 Se 0.250 0.250 0.250 x8

=====

Entry 15:
# Ac3EuSe

A geometry-optimized Ac3EuSe structure (GGA-PBE, Alexandria via LeMat-Bulk).

- E (eV per atom) = -5.774
- calculated volume (Å³/cell) = 222.7
- magnetic moment (Bohr magnetons per cell) = 7.324
- raw formation energy (eV per atom) = -0.56

a b c (Å): 6.062 6.062 6.062
angles (deg): 90.00 90.00 90.00
Space group Pm-3m (No. 221)
Asymmetric unit:
1 Ac 0.000 0.000 0.500 x3
2 Eu 0.500 0.500 0.500 x1
3 Se 0.000 0.000 0.000 x1

=====

Entry 16:
# AcEuSe2

A geometry-optimized AcEuSe2 structure (GGA-PBE, Alexandria via LeMat-Bulk).

- E (eV per atom) = -7.039
- calculated volume (Å³/cell) = 109.4
- excess energy over the best structure of this formula in the dataset (meV/atom) = 244.1
- magnetic moment (Bohr magnetons per cell) = 7.612
- raw formation energy (eV per atom) = -1.70

a b c (Å): 5.362 5.362 3.805
angles (deg): 90.00 90.00 90.00
Space group P4/mmm (No. 123)
Asymmetric unit:
1 Ac 0.000 0.000 0.000 x1
2 Eu 0.500 0.500 0.000 x1
3 Se 0.000 0.500 0.500 x2